A plane-wave DFT calculation with GGA-PBEsol was carried out for a geometry-optimized Mn4As3 structure.

- energy of formation (meV per atom) = -153
- D(E_F) (states/eV/f.u.) = 4.3
- DFT total energy (eV for the cell shown) = -110.88

a = 6.8262 Å, b = 6.8262 Å, c = 8.8784 Å
α = 99.54°, β = 99.54°, γ = 27.77°
With the nearest neighbours (Å) after each atom.
Atoms (fractional coordinates):
Mn 0.0000 0.0000 0.0000  4 As 2.40-2.43
Mn 0.0000 0.0000 0.5000  6 As 2.38-2.61
Mn 0.2267 0.2267 0.6943  6 As 2.31-2.54
Mn 0.3354 0.3354 0.0612  5 As 2.42-2.47
Mn 0.4349 0.4349 0.7524  5 As 2.35-2.42
Mn 0.5651 0.5651 0.2476  5 As 2.35-2.42
Mn 0.6646 0.6646 0.9388  5 As 2.42-2.47
Mn 0.7733 0.7733 0.3057  6 As 2.31-2.54
As 0.0676 0.0676 0.7664  7 Mn 2.31-2.45
As 0.1720 0.1720 0.1494  8 Mn 2.40-2.47
As 0.3464 0.3464 0.4996  6 Mn 2.35-2.61
As 0.6536 0.6536 0.5004  6 Mn 2.35-2.61
As 0.8280 0.8280 0.8506  8 Mn 2.40-2.47
As 0.9324 0.9324 0.2336  7 Mn 2.31-2.45